A relaxed structure of Y2SnP. Source: the Alexandria database, functional PBE.

Results
Its excess energy over the best structure of this formula in the dataset is 48.6 kJ per mole of atoms. As for the total moment: 0.0 μB/cell. The calculated volume comes out at 24.5 A^3/atom. For the density of states at the Fermi level, the calculation gives 3.687 states/eV/cell. The space group is Fm-3m (225).

```
Y2SnP
1.0
0.0000 3.6572 3.6572
3.6572 0.0000 3.6572
3.6572 3.6572 0.0000
P Y Sn
1 2 1
Direct
0.0000 0.0000 0.0000
0.7500 0.7500 0.7500
0.2500 0.2500 0.2500
0.5000 0.5000 0.5000
```

---

A relaxed structure of YSn3P. Source: the Alexandria database, functional PBE.

Results
Its excess energy over the best structure of this formula in the dataset is 0.0 kJ per mole of atoms. As for the total moment: 0.0 μB/cell. The calculated volume comes out at 28.4 A^3/atom. For the density of states at the Fermi level, the calculation gives 4.016 states/eV/cell. The space group is Pm-3m (221).

```
YSn3P
1.0
5.2162 0.0000 0.0000
0.0000 5.2162 0.0000
0.0000 0.0000 5.2162
Sn P Y
3 1 1
Direct
0.0000 0.5000 0.0000
0.5000 0.0000 0.0000
0.0000 0.0000 0.5000
0.0000 0.0000 0.0000
0.5000 0.5000 0.5000
```

---

A relaxed structure of YSnP2. Source: the Alexandria database, functional PBE.

Results
Its excess energy over the best structure of this formula in the dataset is 8.1 kJ per mole of atoms. As for the total moment: 0.0 μB/cell. The calculated volume comes out at 21.2 A^3/atom. For the density of states at the Fermi level, the calculation gives 2.072 states/eV/cell. The space group is Fm-3m (225).

```
YSnP2
1.0
-3.4331 -3.0906 -1.7300
-4.3058 -0.4740 2.3593
-4.1301 1.7838 -2.0227
P Y Sn
2 1 1
Direct
0.7500 0.7500 0.7500
0.2500 0.2500 0.2500
0.0000 0.0000 0.0000
0.5000 0.5000 0.5000
```

---

A relaxed structure of YSn3P. Source: the Alexandria database, functional PBE.

Results
Its excess energy over the best structure of this formula in the dataset is 78.1 kJ per mole of atoms. As for the total moment: 0.0 μB/cell. The calculated volume comes out at 38.1 A^3/atom. For the density of states at the Fermi level, the calculation gives 6.524 states/eV/cell. The space group is Pm-3m (221).

```
YSn3P
1.0
5.7535 0.0000 0.0000
0.0000 5.7535 0.0000
0.0000 0.0000 5.7535
Sn Y P
3 1 1
Direct
0.5000 0.0000 0.0000
0.0000 0.0000 0.5000
0.0000 0.5000 0.0000
0.0000 0.0000 0.0000
0.5000 0.5000 0.5000
```

---

A relaxed structure of YSnP. Source: the Alexandria database, functional PBE.

Results
As for the total moment: 0.0 μB/cell. The calculated volume comes out at 26.9 A^3/atom. For the density of states at the Fermi level, the calculation gives 0.850 states/eV/cell. The raw total energy comes out at -5.99 eV per atom. The space group is R-3m (166).

```
YSnP
1.0
-1.7738 -4.6698 -0.1334
-0.5985 -2.3212 -4.3847
6.1643 -4.9852 -1.0499
Sn Y P
2 2 2
Direct
0.8398 0.8398 0.4806
0.1602 0.1602 0.5194
0.6013 0.6013 0.1960
0.3987 0.3987 0.8040
0.7228 0.7228 0.8317
0.2772 0.2772 0.1683
```

---

A relaxed structure of Y2SnP2. Source: the Alexandria database, functional PBE.

Results
Its excess energy over the best structure of this formula in the dataset is 0.0 kJ per mole of atoms. As for the total moment: 0.0 μB/cell. The calculated volume comes out at 22.3 A^3/atom. For the density of states at the Fermi level, the calculation gives 5.572 states/eV/cell. The space group is P4/mbm (127).

```
Y2SnP2
1.0
7.6808 0.0000 0.0000
0.0000 7.6808 0.0000
0.0000 0.0000 3.7745
P Y Sn
4 4 2
Direct
0.1484 0.3516 0.0000
0.6484 0.1484 0.0000
0.3516 0.8516 0.0000
0.8516 0.6484 0.0000
0.1566 0.6566 0.5000
0.6566 0.8434 0.5000
0.8434 0.3434 0.5000
0.3434 0.1566 0.5000
0.5000 0.5000 0.0000
0.0000 0.0000 0.0000
```

---

A relaxed structure of Y4SnP2. Source: the Alexandria database, functional PBE.

Results
As for the total moment: 0.0 μB/cell. The calculated volume comes out at 31.9 A^3/atom. For the density of states at the Fermi level, the calculation gives 5.126 states/eV/cell. The raw total energy comes out at -6.05 eV per atom. The space group is I4/mmm (139).

```
Y4SnP2
1.0
5.5303 0.0000 0.0000
0.0000 5.5303 0.0000
2.7651 2.7651 7.2947
P Sn Y
2 1 4
Direct
0.6131 0.6131 0.7738
0.3869 0.3869 0.2262
0.0000 0.0000 0.0000
0.5000 0.0000 0.0000
0.2082 0.2082 0.5836
0.7918 0.7918 0.4164
0.0000 0.5000 0.0000
```

---

A relaxed structure of YSnP3. Source: the Alexandria database, functional PBE.

Results
Its excess energy over the best structure of this formula in the dataset is 0.0 kJ per mole of atoms. As for the total moment: 0.0 μB/cell. The calculated volume comes out at 24.6 A^3/atom. For the density of states at the Fermi level, the calculation gives 4.236 states/eV/cell. The space group is Pm-3m (221).

```
YSnP3
1.0
-2.1250 -3.9353 2.1748
2.9905 -3.0333 -2.5667
3.3576 0.2111 3.6625
P Sn Y
3 1 1
Direct
0.0000 0.5000 0.0000
0.0000 0.0000 0.5000
0.5000 0.0000 0.0000
0.0000 0.0000 0.0000
0.5000 0.5000 0.5000
```

---

Which formula does entry 8 have? YSnP3